# TlV2Pb2O7 | Alexandria | GGA+U | relaxed
# Magnetization = 0.083 μB/atom
# Energy = -77.18 eV per formula unit
data_TlV2Pb2O7
_cell_length_a 5.9423
_cell_length_b 5.9423
_cell_length_c 24.6156
_cell_angle_alpha 90.00
_cell_angle_beta 90.00
_cell_angle_gamma 120.00
_symmetry_space_group_name_H-M 'R 3 2'
_symmetry_Int_Tables_number 155
_symmetry_space_group_name_Hall 'R 3 2"'
loop_
_atom_site_label
_atom_site_type_symbol
_atom_site_fract_x
_atom_site_fract_y
_atom_site_fract_z
_atom_site_occupancy
Tl1 Tl 0.0000 0.0000 0.0000 1
V1 V 0.0000 0.0000 0.4259 1
Pb1 Pb 0.0000 0.0000 0.2131 1
O1 O 0.0000 0.0000 0.5000 1
O2 O 0.0226 0.4202 0.0718 1